No. 1
A plane-wave DFT calculation with GGA-PBE was carried out for a relaxed SmHo2TmHg4 crystal.

Total moment   0.4 μB/f.u.
E_tot   -23.34 eV/cell
Formation energy   -0.473 eV per atom
Space-group type   R-3m

a = 5.258 Å, b = 5.258 Å, c = 9.138 Å
α = 73.28°, β = 73.28°, γ = 60.00°
Sites, in units of the cell vectors:
Sm 0.000 0.000 0.000
Hg 0.874 0.874 0.379
Hg 0.126 0.126 0.621
Hg 0.377 0.377 0.869
Tm 0.500 0.500 0.500
Ho 0.751 0.751 0.747
Hg 0.623 0.623 0.131
Ho 0.249 0.249 0.253

No. 2
A plane-wave DFT calculation with GGA-PBE was carried out for a relaxed SmYHoHg crystal.

Total moment   0.0 μB/f.u.
E_tot   -16.31 eV/cell
Formation energy   -0.062 eV per atom
Space-group type   F-43m

a = 5.439 Å, b = 5.439 Å, c = 5.439 Å
α = 60.00°, β = 60.00°, γ = 60.00°
Sites, in units of the cell vectors:
Sm 0.500 0.500 0.500
Ho 0.750 0.750 0.750
Y 0.000 0.000 0.000
Hg 0.250 0.250 0.250

No. 3
A plane-wave DFT calculation with GGA-PBE was carried out for a relaxed Ho2Sn4Hg crystal.

Energy above the most stable polymorph in this dataset   0.453 kcal/mol of atoms
Total moment   0.0 μB/f.u.
E_tot   -28.17 eV/cell
Formation energy   -0.387 eV per atom
Space-group type   P-4m2

a = 4.465 Å, b = 4.465 Å, c = 9.449 Å
α = 90.00°, β = 90.00°, γ = 90.00°
Sites, in units of the cell vectors:
Sn 0.000 0.000 0.500
Ho 0.000 0.500 0.236
Hg 0.500 0.500 0.000
Sn 0.500 0.500 0.500
Sn 0.500 0.000 0.198
Ho 0.500 0.000 0.764
Sn 0.000 0.500 0.802